Here is an optimized crystal structure of SnAsO2F from the Alexandria database. Energies are from PBE-GGA.

Calculated values
D(E_F) = 0.2 states/eV per cell
Crystal system = tetragonal
Magnetic moment = 0.0 μB/f.u.
Raw total energy = -25.44 eV per cell

Unit cell a=4.150 b=4.150 c=4.198 alpha=90.00 beta=90.00 gamma=90.00
Atoms (fractional coordinates):
As1 0.000 0.000 0.000
Sn1 0.500 0.500 0.500
O1 0.000 0.500 0.000
O2 0.500 0.000 0.000
F1 0.000 0.000 0.500

Here is an optimized crystal structure of Ca2TlIr from the Alexandria database. Energies are from PBE-GGA.

Calculated values
D(E_F) = 2.6 states/eV per cell
Energy of formation = -294.4 meV per atom
Energy above the lowest structure with this stoichiometry = 0.0000 eV per atom
Crystal system = monoclinic
Magnetic moment = 0.0 μB/f.u.
Raw total energy = -16.41 eV per cell

Unit cell a=3.442 b=3.567 c=8.773 alpha=65.92 beta=90.00 gamma=90.00
Atoms (fractional coordinates):
Tl1 0.500 0.750 0.750
Ir1 0.500 0.250 0.250
Ca1 0.000 0.955 0.045
Ca2 0.000 0.545 0.455

Here is an optimized crystal structure of Zn3GaAg7 from the Alexandria database. Energies are from PBE-GGA.

Calculated values
D(E_F) = 3.0 states/eV per cell
Energy of formation = 94.5 meV per atom
Crystal system = monoclinic
Magnetic moment = 0.0 μB/f.u.
Raw total energy = -25.77 eV per cell

Unit cell a=4.921 b=6.895 c=6.895 alpha=89.96 beta=111.56 gamma=111.56
Atoms (fractional coordinates):
Zn1 0.000 0.773 0.227
Zn2 0.500 0.000 0.000
Zn3 0.000 0.227 0.773
Ga1 0.500 0.500 0.500
Ag1 0.201 0.184 0.184
Ag2 0.326 0.047 0.602
Ag3 0.674 0.398 0.953
Ag4 0.326 0.602 0.047
Ag5 0.000 0.500 0.500
Ag6 0.674 0.953 0.398
Ag7 0.799 0.816 0.816